Record 1
VASP calculation (PBE-GGA) on a relaxed structure of Sm2DyEr5Sc.

abc: 8.491 8.491 15.440
angles: 90.00 90.00 90.00
Space group I4/mcm (No. 140)
Inequivalent atoms, fractional coordinates:
Sm: 0.119 0.381 0.000
Dy: 0.000 0.000 0.250
Er: 0.000 0.000 0.000
Er: 0.208 0.292 0.358
Sc: 0.000 0.500 0.250

Summary:
For the formation energy from the elements, the calculation gives 2.55 eV/f.u. As for the total energy: -4.51 eV/atom. For the density of states at the Fermi level, the calculation gives 11.713 states/eV/f.u.



Record 2
VASP calculation (PBE-GGA) on a relaxed structure of Sm2Dy4ErSc.

abc: 4.993 4.993 9.932
angles: 90.00 90.00 90.00
Space group P4/mmm (No. 123)
Inequivalent atoms, fractional coordinates:
Sm: 0.000 0.000 0.000
Sm: 0.500 0.500 0.500
Dy: 0.000 0.500 0.246
Er: 0.000 0.000 0.500
Sc: 0.500 0.500 0.000

Summary:
For the formation energy from the elements, the calculation gives 0.25 eV/f.u. As for the total energy: -4.81 eV/atom. For the density of states at the Fermi level, the calculation gives 11.492 states/eV/f.u.



Record 3
VASP calculation (PBE-GGA) on a relaxed structure of SmDy6Er3Sc2.

abc: 6.055 10.477 11.567
angles: 90.00 100.00 90.00
Space group C2/m (No. 12)
Inequivalent atoms, fractional coordinates:
Sm: 0.000 0.000 0.000
Dy: 0.247 0.500 0.247
Dy: 0.249 0.332 0.753
Er: 0.000 0.167 0.500
Er: 0.000 0.500 0.500
Sc: 0.000 0.333 0.000

Summary:
For the formation energy from the elements, the calculation gives 0.43 eV/f.u. As for the total energy: -4.85 eV/atom. For the density of states at the Fermi level, the calculation gives 16.702 states/eV/f.u.